VASP calculation (PBE) on a relaxed structure of Sr4Hg5Ge2.

Calculated values
For the formation energy, the calculation gives -0.4667 eV per atom.

Cell: 4.2890 8.1861 9.5060 Å, 90.44 90.00 90.00°
Element x y z (fractional)
Sr  0.5000  0.7571  0.6031
Sr  0.5000  0.2117  0.8499
Sr  0.5000  0.2429  0.3969
Sr  0.5000  0.7883  0.1501
Hg  0.0000  0.5666  0.3495
Hg  0.0000  0.1362  0.1204
Hg  0.0000  0.5000  0.0000
Hg  0.0000  0.8638  0.8796
Hg  0.0000  0.4334  0.6505
Ge  0.0000  0.0634  0.6180
Ge  0.0000  0.9366  0.3820

***

VASP calculation (PBE) on a relaxed structure of Sr2Ni2As.

Calculated values
For the energy above the most stable polymorph in this dataset, the calculation gives 0.013 eV per atom. For the formation energy, the calculation gives -0.1989 eV per atom.

Cell: 9.3440 9.3440 9.3440 Å, 158.03 158.03 31.27°
Site moments in Bohr magnetons follow the coordinates.
Element x y z (fractional)
Sr  0.6100  0.6100  0.0000  -0.01
Sr  0.3900  0.3900  0.0000  -0.01
Ni  0.2500  0.7500  0.5000  0.26
Ni  0.7500  0.2500  0.5000  0.26
As  0.0000  0.0000  0.0000  0.00

***

VASP calculation (PBE) on a relaxed structure of ZrIn.

Calculated values
For the formation energy, the calculation gives -0.0283 eV per atom.

Cell: 10.4750 10.4750 10.4750 Å, 18.13 18.13 18.13°
Element x y z (fractional)
In  0.9982  0.9982  0.9982
In  0.7518  0.7518  0.7518
Zr  0.5023  0.5023  0.5023
Zr  0.2477  0.2477  0.2477

***

VASP calculation (PBE) on a relaxed structure of Nb2V3H4.

Cell: 2.6790 4.7547 7.4851 Å, 105.54 90.00 106.36°
Element x y z (fractional)
Nb  0.2964  0.5927  0.1979
Nb  0.7036  0.4073  0.8021
V  0.4011  0.8023  0.5995
V  0.0000  0.0000  0.0000
V  0.5989  0.1977  0.4005
H  0.6190  0.2381  0.1520
H  0.0780  0.1560  0.6099
H  0.9220  0.8440  0.3901
H  0.3810  0.7619  0.8480

***

VASP calculation (PBE) on a relaxed structure of La2Be4GePt3.

Calculated values
For the formation energy, the calculation gives -0.7086 eV per atom.

Cell: 4.1165 4.1165 9.8520 Å, 90.00 90.00 90.00°
Element x y z (fractional)
La  0.5000  0.0000  0.2514
La  0.0000  0.5000  0.7486
Be  0.5000  0.5000  0.0000
Be  0.0000  0.0000  0.0000
Be  0.5000  0.0000  0.6304
Be  0.0000  0.5000  0.3696
Ge  0.5000  0.5000  0.5000
Pt  0.0000  0.0000  0.5000
Pt  0.5000  0.0000  0.8832
Pt  0.0000  0.5000  0.1168

***

VASP calculation (PBE) on a relaxed structure of SbPdPb2.

Calculated values
For the uncorrected formation energy, the calculation gives -0.0948 eV/atom.

Cell: 4.7941 4.7941 5.6067 Å, 90.00 90.00 120.00°
Element x y z (fractional)
Sb  0.0000  0.0000  0.5000
Pd  0.0000  0.0000  0.0000
Pb  0.3333  0.6667  0.1986
Pb  0.6667  0.3333  0.8014

***

VASP calculation (PBE) on a relaxed structure of Pr6TeO12.

Calculated values
For the uncorrected formation energy, the calculation gives -2.9347 eV/atom.

Cell: 6.8037 6.8037 6.8037 Å, 98.58 98.58 98.58°
Element x y z (fractional)
Pr  0.6907  0.8550  0.3908
Pr  0.6092  0.3093  0.1450
Pr  0.1450  0.6092  0.3093
Pr  0.3093  0.1450  0.6092
Pr  0.3908  0.6907  0.8550
Pr  0.8550  0.3908  0.6907
Te  0.0000  0.0000  0.0000
O  0.8225  0.5596  0.4057
O  0.4057  0.8225  0.5596
O  0.5596  0.4057  0.8225
O  0.1775  0.4404  0.5943
O  0.5943  0.1775  0.4404
O  0.4404  0.5943  0.1775
O  0.0669  0.9695  0.2874
O  0.0305  0.7126  0.9331
O  0.7126  0.9331  0.0305
O  0.9331  0.0305  0.7126
O  0.9695  0.2874  0.0669
O  0.2874  0.0669  0.9695

***

VASP calculation (PBE) on a relaxed structure of MgBAsO2.

Calculated values
For the uncorrected formation energy, the calculation gives 0.4182 eV/atom.

Cell: 3.6847 5.9189 3.6847 Å, 90.00 90.00 90.00°
Element x y z (fractional)
As  0.0000  0.0000  0.0000
B  0.5000  0.5000  0.5000
Mg  0.0000  0.5000  0.0000
O  0.0000  0.0000  0.5000
O  0.5000  0.0000  0.0000

***

VASP calculation (PBE) on a relaxed structure of Ga3Pd12W.

Calculated values
For the formation energy, the calculation gives -0.3769 eV per atom.

Cell: 3.9255 3.9255 15.7452 Å, 90.00 90.00 90.00°
Element x y z (fractional)
Ga  0.0000  0.0000  0.2597
Ga  0.0000  0.0000  0.5000
Ga  0.0000  0.0000  0.7403
Pd  0.5000  0.5000  0.0000
Pd  0.5000  0.5000  0.2475
Pd  0.5000  0.5000  0.5000
Pd  0.5000  0.5000  0.7525
Pd  0.5000  0.0000  0.1210
Pd  0.5000  0.0000  0.3750
Pd  0.5000  0.0000  0.6250
Pd  0.5000  0.0000  0.8790
Pd  0.0000  0.5000  0.1210
Pd  0.0000  0.5000  0.3750
Pd  0.0000  0.5000  0.6250
Pd  0.0000  0.5000  0.8790
W  0.0000  0.0000  0.0000

***

VASP calculation (PBE) on a relaxed structure of BaNb2Rh2.

Calculated values
For the energy above the most stable polymorph in this dataset, the calculation gives 0.229 eV per atom. For the formation energy, the calculation gives 0.0912 eV per atom.

Cell: 8.3017 8.3017 2.9477 Å, 90.00 90.00 90.00°
Element x y z (fractional)
Nb  0.1134  0.6134  0.5000
Nb  0.6134  0.8866  0.5000
Nb  0.8866  0.3866  0.5000
Nb  0.3866  0.1134  0.5000
Rh  0.3285  0.8285  0.0000
Rh  0.8285  0.6715  0.0000
Rh  0.6715  0.1715  0.0000
Rh  0.1715  0.3285  0.0000
Ba  0.0000  0.0000  0.0000
Ba  0.5000  0.5000  0.0000

***

VASP calculation (PBE) on a relaxed structure of KGaPb.

Calculated values
For the formation energy, the calculation gives -0.0562 eV per atom.

Cell: 8.9181 3.6194 6.3545 Å, 89.48 104.37 101.79°
Element x y z (fractional)
Pb  0.9958  0.2545  0.2748
Pb  0.0042  0.7455  0.7252
K  0.6443  0.0660  0.8027
K  0.3557  0.9340  0.1973
Ga  0.7274  0.6147  0.3291
Ga  0.2726  0.3853  0.6709

***

VASP calculation (PBE) on a relaxed structure of SrScHg2.

Calculated values
For the formation energy, the calculation gives -0.3619 eV per atom.

Cell: 4.9853 4.9853 6.0318 Å, 65.64 65.64 59.95°
Element x y z (fractional)
Hg  0.0363  0.0363  0.8912
Hg  0.4637  0.4637  0.6088
Sc  0.7500  0.7500  0.7500
Sr  0.2500  0.2500  0.2500

***

no.,DFT total energy (eV/atom)
1,-2.055
2,-4.114
3,-5.672
4,-6.741
5,-5.459
6,-4.278
7,-7.741
8,-4.149
9,-5.649
10,-7.262
11,-2.667
12,-2.516